[1]
First-principles (PBE) data for crystalline Rb3Nd3PuS8 at its relaxed geometry, as listed in Alexandria via LeMat-Bulk.

Results
ΔE_f (raw)   -1.74 eV per atom
D(E_F)   0.75 states/eV/atom
Total DFT energy (no corrections)   -271.891 eV/cell
Spin magnetization   0.27 μB per atom
Volume   31.41 A^3/atom

abc: 8.3394 8.3394 23.4691
angles: 90.00 90.00 120.00
Space group R-3m (No. 166, hexagonal axes)
Symmetry-distinct sites (fractional):
1 Rb 0.0000 0.5000 0.0000
2 Nd 0.0000 0.5000 0.5000
3 Pu 0.0000 0.0000 0.5000
4 S 0.0000 0.0000 0.2321
5 S 0.0155 0.5077 0.2289


[2]
First-principles (PBE) data for crystalline TlAgP4 at its relaxed geometry, as listed in Alexandria via LeMat-Bulk.

Results
D(E_F)   0.26 states/eV/atom
Total DFT energy (no corrections)   -98.565 eV/cell
Spin magnetization   0.00 μB per atom
Volume   25.53 A^3/atom

abc: 8.4935 8.4935 8.4935
angles: 90.00 90.00 90.00
Space group F-43m (No. 216)
Symmetry-distinct sites (fractional):
1 Tl 0.0000 0.0000 0.0000
2 Ag 0.2500 0.2500 0.2500
3 P 0.0922 0.0922 0.5922